# 1
The following is a DFT calculation (GGA-PBE) of an optimized crystal structure of Na2LiAs3Pd4.

Cell lengths 4.247, 4.247, 10.379 Å; angles 90.00, 90.00, 90.00 degrees
Sites, in units of the cell vectors:
1 Na 0.000 0.500 0.249
2 Na 0.500 0.000 0.751
3 Li 0.500 0.500 0.000
4 As 0.000 0.000 0.000
5 As 0.000 0.500 0.634
6 As 0.500 0.000 0.366
7 Pd 0.000 0.000 0.500
8 Pd 0.000 0.500 0.869
9 Pd 0.500 0.000 0.131
10 Pd 0.500 0.500 0.500

Size of the total moment (μB/f.u.): 0.0
Formation energy (meV per atom): -472
Symmetry: No. 115

---

# 2
The following is a DFT calculation (GGA-PBE) of an optimized crystal structure of Be2C3.

Cell lengths 2.656, 2.656, 5.968 Å; angles 90.00, 90.00, 120.00 degrees
Sites, in units of the cell vectors:
1 Be 0.333 0.667 0.377
2 Be 0.667 0.333 0.623
3 C 0.000 0.000 0.500
4 C 0.333 0.667 0.009
5 C 0.667 0.333 0.991

Size of the total moment (μB/f.u.): 0.0
E above lowest polymorph (eV/atom): 0.000
Formation energy (meV per atom): 406
Symmetry: No. 164

---

# 3
The following is a DFT calculation (GGA-PBE) of an optimized crystal structure of Th5Tl2In.

Cell lengths 10.182, 10.182, 10.182 Å; angles 151.47, 151.47, 40.79 degrees
Sites, in units of the cell vectors:
1 Th 0.000 0.000 0.000
2 Th 0.126 0.626 0.500
3 Th 0.374 0.874 0.500
4 Th 0.626 0.126 0.500
5 Th 0.874 0.374 0.500
6 Tl 0.250 0.250 0.000
7 Tl 0.750 0.750 0.000
8 In 0.500 0.500 0.000

Size of the total moment (μB/f.u.): 0.0
E above lowest polymorph (eV/atom): 0.000
Formation energy (meV per atom): -133
Symmetry: No. 139

---

# 4
The following is a DFT calculation (GGA-PBE) of an optimized crystal structure of HfZn2Au.

Cell lengths 5.902, 5.902, 5.902 Å; angles 102.92, 102.92, 123.56 degrees
Sites, in units of the cell vectors:
1 Hf 0.000 0.000 0.000
2 Hf 0.750 0.250 0.500
3 Zn 0.146 0.625 0.021
4 Zn 0.375 0.396 0.521
5 Zn 0.604 0.125 0.979
6 Zn 0.875 0.854 0.479
7 Au 0.250 0.750 0.500
8 Au 0.500 0.500 0.000

Size of the total moment (μB/f.u.): 0.0
Formation energy (meV per atom): 21
Symmetry: No. 122

---

# 5
The following is a DFT calculation (GGA-PBE) of an optimized crystal structure of TbPr2NdH.

Cell lengths 5.188, 5.188, 5.115 Å; angles 90.00, 90.00, 90.00 degrees
Sites, in units of the cell vectors:
1 Tb 0.000 0.000 0.000
2 Pr 0.000 0.500 0.500
3 Pr 0.500 0.000 0.500
4 Nd 0.500 0.500 0.000
5 H 0.000 0.000 0.500

Size of the total moment (μB/f.u.): 0.0
Symmetry: No. 123
Raw total energy (eV per atom): -4.63

---

# 6
The following is a DFT calculation (GGA-PBE) of an optimized crystal structure of MnZnSnSe4.

Cell lengths 7.837, 7.837, 7.837 Å; angles 120.93, 119.93, 89.26 degrees
Sites, in units of the cell vectors:
1 Mn 0.500 0.000 0.000
2 Mn 0.500 0.500 0.500
3 Zn 0.113 0.363 0.750
4 Zn 0.887 0.637 0.250
5 Sn 0.000 0.000 0.000
6 Sn 0.500 0.000 0.500
7 Se 0.263 0.267 0.504
8 Se 0.263 0.759 0.996
9 Se 0.270 0.247 0.023
10 Se 0.275 0.753 0.523
11 Se 0.725 0.247 0.477
12 Se 0.730 0.753 0.977
13 Se 0.737 0.241 0.004
14 Se 0.737 0.733 0.496

Size of the total moment (μB/f.u.): 4.2
Formation energy (no corrections) (eV per formula unit): -3.1
Symmetry: No. 74